Entry 1:
The following is a SCAN calculation of LuSnPd at its PBEsol-relaxed geometry, from Alexandria.

Geometry as CIF:
```
data_LuSnPd
_chemical_formula_sum 'Lu3 Sn3 Pd3'
_cell_length_a 7.445
_cell_length_b 7.445
_cell_length_c 3.782
_cell_angle_alpha 90.00
_cell_angle_beta 90.00
_cell_angle_gamma 120.00
_symmetry_space_group_name_H-M 'P 1'
_symmetry_Int_Tables_number 1
loop_
_symmetry_equiv_pos_as_xyz
'x,y,z'
loop_
_atom_site_label
_atom_site_fract_x
_atom_site_fract_y
_atom_site_fract_z
Lu1 0.000 0.402 0.000
Lu2 0.402 0.000 0.000
Lu3 0.598 0.598 0.000
Sn1 0.000 0.736 0.500
Sn2 0.264 0.264 0.500
Sn3 0.736 0.000 0.500
Pd1 0.000 0.000 0.000
Pd2 0.333 0.667 0.500
Pd3 0.667 0.333 0.500
```

---

Entry 2:
The following is a SCAN calculation of PIrW2 at its PBEsol-relaxed geometry, from Alexandria.

Geometry as CIF:
```
data_PIrW2
_chemical_formula_sum 'P1 Ir1 W2'
_cell_length_a 4.785
_cell_length_b 4.785
_cell_length_c 4.435
_cell_angle_alpha 94.46
_cell_angle_beta 94.46
_cell_angle_gamma 35.38
_symmetry_space_group_name_H-M 'P 1'
_symmetry_Int_Tables_number 1
loop_
_symmetry_equiv_pos_as_xyz
'x,y,z'
loop_
_atom_site_label
_atom_site_fract_x
_atom_site_fract_y
_atom_site_fract_z
P1 0.000 0.000 0.000
Ir1 0.500 0.500 0.500
W1 0.237 0.237 0.745
W2 0.763 0.763 0.255
```

---

| no. | formation energy from the elements (kcal/mol of atoms) | total energy (eV per cell) |
| --- | --- | --- |
| 1 | -23.514 | -381.30 |
| 2 | 3.980 | -220.18 |